The following is a PBE-GGA calculation of Cu2PbF6 after structural relaxation, from Alexandria via LeMat-Bulk.

Unit cell a=5.4417 b=5.4417 c=5.1651 alpha=90.00 beta=90.00 gamma=120.00
Closest atoms and distances in Å follow each position.
Space group P-31m (No. 162)
One atom of each set of equivalent atoms:
1 Cu 0.3333 0.6667 0.0000 x2  6 F 2.05
2 Pb 0.0000 0.0000 0.5000 x1  6 F 2.49
3 F 0.0000 0.3669 0.7884 x6  2 Cu 2.05

Calculated values
As for the formation energy (no corrections): -1.791 eV/atom. The calculation puts the density of states at the Fermi level at 6.370 states/eV per cell. The value obtained for the magnetic moment is 0.2222 μB/atom.